First-principles (GGA-PBE) data for a relaxed Tb2Si5Pd3 crystal, as listed in the Alexandria database.

E_form (uncorrected): -8.1 eV per formula unit
final energy: -6.01 eV per atom
SG: No. 15

abc: 5.9341 8.2035 8.2035
angles: 89.99 68.85 68.85
Last column: nearest neighbours and their distance in Å.
Positions (direct):
Tb  0.2326  0.3955  0.1391  10 Si 3.04-3.25, 6 Pd 3.12-3.40
Tb  0.2674  0.8609  0.6045  10 Si 3.04-3.25, 6 Pd 3.12-3.40
Tb  0.7674  0.6045  0.8609  10 Si 3.04-3.25, 6 Pd 3.12-3.40
Tb  0.7326  0.1391  0.3955  10 Si 3.04-3.25, 6 Pd 3.12-3.40
Si  0.2500  0.2246  0.7754  3 Pd 2.44-2.61, 2 Si 2.48
Si  0.8478  0.2666  0.0380  3 Pd 2.38-2.50, 2 Si 2.48
Si  0.6522  0.9620  0.7334  3 Pd 2.38-2.50, 2 Si 2.48
Si  0.7500  0.4996  0.5004  4 Pd 2.45
Si  0.3478  0.0380  0.2666  3 Pd 2.38-2.50, 2 Si 2.48
Si  0.7500  0.7754  0.2246  3 Pd 2.44-2.61, 2 Si 2.48
Si  0.7500  0.2251  0.7749  3 Pd 2.44-2.61, 2 Si 2.48
Si  0.2500  0.7749  0.2251  3 Pd 2.44-2.61, 2 Si 2.48
Si  0.2500  0.5004  0.4996  4 Pd 2.45
Si  0.1522  0.7334  0.9620  3 Pd 2.38-2.50, 2 Si 2.48
Pd  0.8887  0.7494  0.4724  5 Si 2.38-2.45
Pd  0.6113  0.5276  0.2506  5 Si 2.38-2.45
Pd  0.1113  0.2506  0.5276  5 Si 2.38-2.45
Pd  0.7500  0.0000  0.0000  6 Si 2.50-2.61
Pd  0.2500  0.0000  0.0000  6 Si 2.50-2.61
Pd  0.3887  0.4724  0.7494  5 Si 2.38-2.45